DFT (PBE) results for an optimized crystal structure of Li2ZrSe.

a b c (Å): 3.0939 3.0939 28.5522
angles (deg): 90.00 90.00 120.00
Last column: nearest neighbours and their distance in Å.
Atoms (fractional coordinates):
Li1 0.0000 0.0000 0.2326  3 Se 2.59
Li2 0.0000 0.0000 0.7674  3 Se 2.59
Li3 0.3333 0.6667 0.4341  3 Se 2.59
Li4 0.3333 0.6667 0.8992  3 Se 2.59
Li5 0.6667 0.3333 0.1008  3 Se 2.59
Li6 0.6667 0.3333 0.5659  3 Se 2.59
Zr1 0.0000 0.0000 0.0000  6 Zr 3.09, 6 Li 3.39
Zr2 0.3333 0.6667 0.6667  6 Zr 3.09, 6 Li 3.39
Zr3 0.6667 0.3333 0.3333  6 Zr 3.09, 6 Li 3.39
Se1 0.0000 0.0000 0.5000  6 Li 2.59
Se2 0.3333 0.6667 0.1667  6 Li 2.59
Se3 0.6667 0.3333 0.8333  6 Li 2.59

Summary:
The energy relative to the elements, uncorrected is -18.0 kJ per mole of atoms. Its space group is No. 166.

***

DFT (PBE) results for an optimized crystal structure of Pr2UN4.

a b c (Å): 6.5361 5.8049 7.3821
angles (deg): 90.00 114.17 90.00
Last column: nearest neighbours and their distance in Å.
Atoms (fractional coordinates):
Pr1 0.0504 0.2500 0.2660  4 N 2.32-2.45
Pr2 0.4301 0.2500 0.8320  4 N 2.38-2.55
Pr3 0.5699 0.7500 0.1680  4 N 2.38-2.55
Pr4 0.9496 0.7500 0.7340  4 N 2.32-2.45
U1 0.3481 0.7500 0.5329  6 N 2.18-2.30
U2 0.6519 0.2500 0.4671  6 N 2.18-2.30
N1 0.0208 0.2500 0.5830  1 U 2.20, 1 Pr 2.43
N2 0.3336 0.7500 0.8225  1 U 2.18, 2 Pr 2.32-2.38
N3 0.3659 0.5078 0.3133  2 U 2.18-2.30
N4 0.3659 0.9922 0.3133  2 U 2.18-2.30
N5 0.6341 0.0078 0.6867  2 U 2.18-2.30
N6 0.6341 0.4922 0.6867  2 U 2.18-2.30
N7 0.6664 0.2500 0.1775  1 U 2.18, 2 Pr 2.32-2.38
N8 0.9792 0.7500 0.4170  1 U 2.20, 1 Pr 2.43

Summary:
The energy relative to the elements, uncorrected is -101.0 kJ per mole of atoms. Its space group is No. 11. The energy above the most stable polymorph in this dataset comes out at 393 meV per atom.

***

DFT (PBE) results for an optimized crystal structure of AcZnIr2.

a b c (Å): 4.5112 4.5112 15.7360
angles (deg): 90.00 90.00 120.00
Last column: nearest neighbours and their distance in Å.
Atoms (fractional coordinates):
Ac1 0.0000 0.0000 0.0000  2 Ir 2.87
Ac2 0.3333 0.6667 0.6667  2 Ir 2.87
Ac3 0.6667 0.3333 0.3333  2 Ir 2.87
Zn1 0.0000 0.0000 0.5000  6 Ir 2.62
Zn2 0.3333 0.6667 0.1667  6 Ir 2.62
Zn3 0.6667 0.3333 0.8333  6 Ir 2.62
Ir1 0.0000 0.0000 0.1826  3 Zn 2.62, 3 Ir 2.65, 1 Ac 2.87
Ir2 0.0000 0.0000 0.8174  3 Zn 2.62, 3 Ir 2.65, 1 Ac 2.87
Ir3 0.3333 0.6667 0.4841  3 Zn 2.62, 3 Ir 2.65, 1 Ac 2.87
Ir4 0.3333 0.6667 0.8492  3 Zn 2.62, 3 Ir 2.65, 1 Ac 2.87
Ir5 0.6667 0.3333 0.1508  3 Zn 2.62, 3 Ir 2.65, 1 Ac 2.87
Ir6 0.6667 0.3333 0.5159  3 Zn 2.62, 3 Ir 2.65, 1 Ac 2.87

Summary:
The total DFT energy (no corrections) is -74.00 eV per cell. Its space group is No. 166.

***

DFT (PBE) results for an optimized crystal structure of ZrIr2Os.

a b c (Å): 4.7865 2.8756 4.8332
angles (deg): 90.00 107.54 90.00
Last column: nearest neighbours and their distance in Å.
Atoms (fractional coordinates):
Zr1 0.0000 0.0000 0.0000  4 Os 2.79, 6 Ir 2.81-2.84, 2 Zr 2.88
Ir1 0.0000 0.5000 0.5000  6 Ir 2.79-2.88, 4 Zr 2.81, 2 Os 2.84
Ir2 0.5000 0.0000 0.5000  6 Ir 2.79-2.88, 4 Os 2.81, 2 Zr 2.84
Os1 0.5000 0.5000 0.0000  4 Zr 2.79, 6 Ir 2.81-2.84, 2 Os 2.88

Summary:
Its space group is No. 10. The energy above the most stable polymorph in this dataset comes out at 202 meV per atom.

***

DFT (PBE) results for an optimized crystal structure of K3NaTe2O9.

a b c (Å): 5.8399 5.8399 7.4388
angles (deg): 90.00 90.00 120.00
Last column: nearest neighbours and their distance in Å.
Atoms (fractional coordinates):
K1 0.0000 0.0000 0.0000  12 O 2.86-2.92
K2 0.3333 0.6667 0.6500  12 O 2.95-3.10
K3 0.6667 0.3333 0.3500  12 O 2.95-3.10
Na1 0.0000 0.0000 0.5000  6 O 2.33
Te1 0.3333 0.6667 0.1598  6 O 1.89-2.06
Te2 0.6667 0.3333 0.8402  6 O 1.89-2.06
O1 0.0000 0.5000 0.0000  2 Te 2.06
O2 0.1773 0.3546 0.2993  1 Te 1.89
O3 0.1773 0.8227 0.2993  1 Te 1.89
O4 0.3546 0.1773 0.7007  1 Te 1.89
O5 0.5000 0.0000 0.0000  2 Te 2.06
O6 0.5000 0.5000 0.0000  2 Te 2.06
O7 0.6454 0.8227 0.2993  1 Te 1.89
O8 0.8227 0.1773 0.7007  1 Te 1.89
O9 0.8227 0.6454 0.7007  1 Te 1.89

Summary:
The energy relative to the elements, uncorrected is -110.8 kJ per mole of atoms. Its space group is No. 164.

***

DFT (PBE) results for an optimized crystal structure of CaRe2PbN.

a b c (Å): 5.2025 5.2025 4.2195
angles (deg): 90.00 90.00 90.00
Last column: nearest neighbours and their distance in Å.
Atoms (fractional coordinates):
Ca1 0.0000 0.0000 0.0000  2 N 2.11
Re1 0.0000 0.5000 0.0000  2 Ca 2.60
Re2 0.5000 0.0000 0.0000  2 Ca 2.60
Pb1 0.5000 0.5000 0.5000  8 Re 3.35, 4 N 3.68
N1 0.0000 0.0000 0.5000  2 Ca 2.11

Summary:
The energy relative to the elements, uncorrected is 269.8 kJ per mole of atoms. Its space group is No. 123.

***

DFT (PBE) results for an optimized crystal structure of NdErRh.

a b c (Å): 7.8820 7.8820 5.5604
angles (deg): 90.00 90.00 90.00
Last column: nearest neighbours and their distance in Å.
Atoms (fractional coordinates):
Nd1 0.0000 0.2498 0.0000  2 Rh 2.78
Nd2 0.0000 0.7502 0.0000  2 Rh 2.78
Nd3 0.2498 0.0000 0.5000  2 Rh 2.78
Nd4 0.7502 0.0000 0.5000  2 Rh 2.78
Er1 0.2546 0.5000 0.5000  4 Rh 2.76-2.78
Er2 0.5000 0.2546 0.0000  4 Rh 2.76-2.78
Er3 0.5000 0.7454 0.0000  4 Rh 2.76-2.78
Er4 0.7454 0.5000 0.5000  4 Rh 2.76-2.78
Rh1 0.2493 0.5000 0.0000  4 Er 2.76-2.78, 2 Nd 2.78
Rh2 0.5000 0.2493 0.5000  4 Er 2.76-2.78, 2 Nd 2.78
Rh3 0.5000 0.7507 0.5000  4 Er 2.76-2.78, 2 Nd 2.78
Rh4 0.7507 0.5000 0.0000  4 Er 2.76-2.78, 2 Nd 2.78

Summary:
Its space group is No. 131. The energy above the most stable polymorph in this dataset comes out at 39 meV per atom.

***

DFT (PBE) results for an optimized crystal structure of CrAgCl2.

a b c (Å): 12.9563 3.3432 4.0146
angles (deg): 90.00 108.01 90.00
Last column: nearest neighbours and their distance in Å.
Atoms (fractional coordinates):
Cr1 0.0000 0.0000 0.0000  6 Cl 2.65-2.82
Cr2 0.5000 0.5000 0.0000  6 Cl 2.65-2.82
Ag1 0.2826 0.0000 0.7807  6 Cl 2.88-3.01, 2 Cr 3.16
Ag2 0.7826 0.5000 0.7807  6 Cl 2.88-3.01, 2 Cr 3.16
Cl1 0.1841 0.5000 0.1824  2 Cr 2.82, 4 Ag 2.88
Cl2 0.4641 0.0000 0.4638  4 Cr 2.65
Cl3 0.6841 0.0000 0.1824  2 Cr 2.82, 4 Ag 2.88
Cl4 0.9641 0.5000 0.4638  4 Cr 2.65

Summary:
The energy relative to the elements, uncorrected is -19.6 kJ per mole of atoms. Its space group is No. 8. The energy above the most stable polymorph in this dataset comes out at 192 meV per atom.

***

DFT (PBE) results for an optimized crystal structure of Ba4BiBr4.

a b c (Å): 8.3293 8.3293 12.2421
angles (deg): 119.96 119.96 34.43
Last column: nearest neighbours and their distance in Å.
Atoms (fractional coordinates):
Ba1 0.0962 0.0962 0.3995  4 Br 3.40-3.50, 2 Bi 3.45
Ba2 0.2908 0.2908 0.2051  5 Br 3.33-3.38, 1 Bi 3.40
Ba3 0.7092 0.7092 0.7949  5 Br 3.33-3.38, 1 Bi 3.40
Ba4 0.9038 0.9038 0.6005  4 Br 3.40-3.50, 2 Bi 3.45
Bi1 0.5000 0.5000 0.5000  6 Ba 3.40-3.45
Br1 0.1200 0.1200 0.8886  4 Ba 3.33-3.40
Br2 0.3050 0.3050 0.7044  5 Ba 3.38-3.50
Br3 0.6950 0.6950 0.2956  5 Ba 3.38-3.50
Br4 0.8800 0.8800 0.1114  4 Ba 3.33-3.40

Summary:
The energy relative to the elements, uncorrected is -164.9 kJ per mole of atoms. Its space group is No. 12.

***

DFT (PBE) results for an optimized crystal structure of Cs12Rb7Pb.

a b c (Å): 13.1624 13.1624 13.1624
angles (deg): 106.78 106.78 106.78
Last column: nearest neighbours and their distance in Å.
Atoms (fractional coordinates):
Cs1 0.0510 0.7904 0.2849  3 Rb 4.84-5.26, 4 Cs 5.19-5.42
Cs2 0.1730 0.2357 0.4284  1 Pb 4.32, 2 Rb 4.53-4.56
Cs3 0.2096 0.7151 0.9490  3 Rb 4.84-5.26, 4 Cs 5.19-5.42
Cs4 0.2357 0.4284 0.1730  1 Pb 4.32, 2 Rb 4.53-4.56
Cs5 0.2849 0.0510 0.7904  3 Rb 4.84-5.26, 4 Cs 5.19-5.42
Cs6 0.4284 0.1730 0.2357  1 Pb 4.32, 2 Rb 4.53-4.56
Cs7 0.5716 0.8270 0.7643  1 Pb 4.32, 2 Rb 4.53-4.56
Cs8 0.7151 0.9490 0.2096  3 Rb 4.84-5.26, 4 Cs 5.19-5.42
Cs9 0.7643 0.5716 0.8270  1 Pb 4.32, 2 Rb 4.53-4.56
Cs10 0.7904 0.2849 0.0510  3 Rb 4.84-5.26, 4 Cs 5.19-5.42
Cs11 0.8270 0.7643 0.5716  1 Pb 4.32, 2 Rb 4.53-4.56
Cs12 0.9490 0.2096 0.7151  3 Rb 4.84-5.26, 4 Cs 5.19-5.42
Rb1 0.0000 0.0000 0.0000  12 Cs 5.00-5.26
Rb2 0.1914 0.6047 0.5293  4 Cs 4.53-4.88, 3 Rb 4.70-4.96, 1 Pb 4.73
Rb3 0.3953 0.4707 0.8086  4 Cs 4.53-4.88, 3 Rb 4.70-4.96, 1 Pb 4.73
Rb4 0.4707 0.8086 0.3953  4 Cs 4.53-4.88, 3 Rb 4.70-4.96, 1 Pb 4.73
Rb5 0.5293 0.1914 0.6047  4 Cs 4.53-4.88, 3 Rb 4.70-4.96, 1 Pb 4.73
Rb6 0.6047 0.5293 0.1914  4 Cs 4.53-4.88, 3 Rb 4.70-4.96, 1 Pb 4.73
Rb7 0.8086 0.3953 0.4707  4 Cs 4.53-4.88, 3 Rb 4.70-4.96, 1 Pb 4.73
Pb1 0.5000 0.5000 0.5000  6 Cs 4.32, 6 Rb 4.73

Summary:
The total DFT energy (no corrections) is -20.44 eV per cell. Its space group is No. 148.

***

DFT (PBE) results for an optimized crystal structure of Rb2SrI.

a b c (Å): 11.9458 11.9458 7.4246
angles (deg): 90.00 90.00 90.00
Last column: nearest neighbours and their distance in Å.
Atoms (fractional coordinates):
Rb1 0.1649 0.2500 0.1250  2 I 3.70
Rb2 0.2500 0.6649 0.3750  2 I 3.70
Rb3 0.2500 0.8351 0.8750  2 I 3.70
Rb4 0.3351 0.2500 0.6250  2 I 3.70
Rb5 0.6649 0.7500 0.6250  2 I 3.70
Rb6 0.7500 0.1649 0.8750  2 I 3.70
Rb7 0.7500 0.3351 0.3750  2 I 3.70
Rb8 0.8351 0.7500 0.1250  2 I 3.70
Sr1 0.0000 0.0000 0.5000  2 I 3.71
Sr2 0.0000 0.5000 0.7500  2 I 3.71
Sr3 0.5000 0.0000 0.2500  2 I 3.71
Sr4 0.5000 0.5000 0.0000  2 I 3.71
I1 0.0000 0.0000 0.0000  4 Rb 3.70, 2 Sr 3.71
I2 0.0000 0.5000 0.2500  4 Rb 3.70, 2 Sr 3.71
I3 0.5000 0.0000 0.7500  4 Rb 3.70, 2 Sr 3.71
I4 0.5000 0.5000 0.5000  4 Rb 3.70, 2 Sr 3.71

Summary:
The energy relative to the elements, uncorrected is -43.1 kJ per mole of atoms. Its space group is No. 122. The energy above the most stable polymorph in this dataset comes out at 151 meV per atom.

***

DFT (PBE) results for an optimized crystal structure of KRbSn.

a b c (Å): 6.2486 7.1314 7.1530
angles (deg): 119.79 115.84 90.11
Last column: nearest neighbours and their distance in Å.
Atoms (fractional coordinates):
K1 0.1732 0.4282 0.3464  2 K 3.53, 3 Rb 3.56-3.60, 2 Sn 3.92-3.95
K2 0.8268 0.5718 0.6536  2 K 3.53, 3 Rb 3.56-3.60, 2 Sn 3.92-3.95
Rb1 0.1625 0.9170 0.3249  3 K 3.56-3.60, 2 Rb 3.65, 2 Sn 3.98
Rb2 0.8375 0.0830 0.6751  3 K 3.56-3.60, 2 Rb 3.65, 2 Sn 3.98
Sn1 0.5000 0.0000 0.0000  2 Sn 3.57, 2 K 3.92, 4 Rb 3.98
Sn2 0.5000 0.5000 0.0000  2 Sn 3.57, 2 K 3.95

Summary:
Its space group is No. 2. The energy above the most stable polymorph in this dataset comes out at 53 meV per atom.